1.
{
  "formula": "Ta2RhF",
  "functional": "PBE",
  "state": "relaxed",
  "cell": [[-3.2377, 1.9035, 2.3349], [-1.3874, 4.0657, -1.0502], [-3.9917, 0.5742, -1.8151]],
  "species": ["F", "Rh", "Ta", "Ta"],
  "fractional_positions": [[0.0000, 0.0000, 0.0000], [0.5000, 0.5000, 0.5000], [0.2500, 0.2500, 0.2500], [0.7500, 0.7500, 0.7500]],
  "total_magnetization_mub_per_cell": 0.00,
  "volume_a3_per_atom": 15.3
}


2.
{
  "formula": "Ta2RhF",
  "functional": "PBE",
  "state": "relaxed",
  "cell": [[6.3821, 0.0000, 0.0000], [0.0000, 6.3821, 0.0000], [3.1911, 3.1911, 3.0391]],
  "species": ["F", "F", "Rh", "Rh", "Ta", "Ta", "Ta", "Ta"],
  "fractional_positions": [[0.5000, 0.5000, 0.0000], [0.2500, 0.7500, 0.5000], [0.0000, 0.0000, 0.0000], [0.7500, 0.2500, 0.5000], [0.5807, 0.1250, 0.2500], [0.1693, 0.6250, 0.2500], [0.3750, 0.4193, 0.7500], [0.8750, 0.8307, 0.7500]],
  "total_magnetization_mub_per_cell": 0.00,
  "volume_a3_per_atom": 15.5
}


Relative energies, in kJ/mol of atoms, with the most stable structure set to zero: 1 1.6; 2 0.0.


1.
{
  "formula": "Ta3RhF",
  "functional": "PBE",
  "state": "relaxed",
  "cell": [[-3.0508, 2.5095, -1.6265], [-2.9654, -2.8392, 1.1816], [-0.3869, 1.9728, 3.7695]],
  "species": ["F", "Rh", "Ta", "Ta", "Ta"],
  "fractional_positions": [[0.0000, 0.0000, 0.0000], [0.5000, 0.5000, 0.5000], [0.0000, 0.5000, 0.0000], [0.0000, 0.0000, 0.5000], [0.5000, 0.0000, 0.0000]],
  "total_magnetization_mub_per_cell": 0.00,
  "volume_a3_per_atom": 15.6
}


2.
{
  "formula": "Ta3RhF",
  "functional": "PBE",
  "state": "relaxed",
  "cell": [[4.8329, 0.0000, 0.0000], [0.0000, 4.8329, 0.0000], [0.0000, 0.0000, 4.8329]],
  "species": ["F", "Rh", "Ta", "Ta", "Ta"],
  "fractional_positions": [[0.5000, 0.5000, 0.5000], [0.0000, 0.0000, 0.0000], [0.0000, 0.5000, 0.0000], [0.0000, 0.0000, 0.5000], [0.5000, 0.0000, 0.0000]],
  "total_magnetization_mub_per_cell": 0.00,
  "volume_a3_per_atom": 22.6
}


Relative energies, in kJ/mol of atoms, with the most stable structure set to zero: 1 0.0; 2 95.0.